RbP2ClO after structural relaxation, computed with PBE-GGA.

Output
space-group type	P4/mmm
energy relative to the elements, uncorrected	1418	meV per atom
M_tot	3.9	μB per formula unit

a = 7.712 Å, b = 7.712 Å, c = 6.046 Å
α = 90.00°, β = 90.00°, γ = 90.00°
Positions (direct):
1 Rb 0.000 0.000 0.000
2 P 0.000 0.500 0.000
3 P 0.500 0.000 0.000
4 Cl 0.000 0.000 0.500
5 O 0.500 0.500 0.500

RbP2ClO after structural relaxation, computed with PBE-GGA.

Output
space-group type	P4/mmm
energy relative to the elements, uncorrected	861	meV per atom
M_tot	2.4	μB per formula unit

a = 4.668 Å, b = 4.668 Å, c = 6.035 Å
α = 90.00°, β = 90.00°, γ = 90.00°
Positions (direct):
1 Rb 0.000 0.000 0.000
2 P 0.000 0.500 0.500
3 P 0.500 0.000 0.500
4 Cl 0.500 0.500 0.500
5 O 0.500 0.500 0.000

RePCl8O after structural relaxation, computed with PBE-GGA.

Output
space-group type	Pnma
energy relative to the elements, uncorrected	-810	meV per atom
M_tot	2.0	μB per formula unit

a = 17.325 Å, b = 8.482 Å, c = 9.190 Å
α = 90.00°, β = 90.00°, γ = 90.00°
Positions (direct):
1 Re 0.153 0.250 0.077
2 Re 0.347 0.750 0.577
3 Re 0.653 0.250 0.423
4 Re 0.847 0.750 0.923
5 P 0.081 0.250 0.721
6 P 0.419 0.750 0.221
7 P 0.581 0.250 0.779
8 P 0.919 0.750 0.279
9 Cl 0.028 0.750 0.347
10 Cl 0.039 0.250 0.208
11 Cl 0.131 0.063 0.634
12 Cl 0.131 0.437 0.634
13 Cl 0.148 0.520 0.057
14 Cl 0.148 0.980 0.057
15 Cl 0.226 0.250 0.281
16 Cl 0.237 0.750 0.427
17 Cl 0.263 0.250 0.927
18 Cl 0.274 0.750 0.781
19 Cl 0.352 0.020 0.557
20 Cl 0.352 0.480 0.557
21 Cl 0.369 0.563 0.134
22 Cl 0.369 0.937 0.134
23 Cl 0.461 0.750 0.708
24 Cl 0.472 0.250 0.847
25 Cl 0.528 0.750 0.153
26 Cl 0.539 0.250 0.292
27 Cl 0.631 0.063 0.866
28 Cl 0.631 0.437 0.866
29 Cl 0.648 0.520 0.443
30 Cl 0.648 0.980 0.443
31 Cl 0.726 0.250 0.219
32 Cl 0.737 0.750 0.073
33 Cl 0.763 0.250 0.573
34 Cl 0.774 0.750 0.719
35 Cl 0.852 0.020 0.943
36 Cl 0.852 0.480 0.943
37 Cl 0.869 0.563 0.366
38 Cl 0.869 0.937 0.366
39 Cl 0.961 0.750 0.792
40 Cl 0.972 0.250 0.653
41 O 0.082 0.250 0.884
42 O 0.418 0.750 0.384
43 O 0.582 0.250 0.616
44 O 0.918 0.750 0.116